Record 1
Density functional theory data (PBE) for a relaxed structure of LaSmDy3.

Summary:
E (eV/atom): -4.321
ΔE to the lowest computed polymorph (kJ/mol of atoms): 33.1
Volume (A^3/atom): 36.17
Size of the total moment (μB per formula unit): 0.0
Energy of formation (eV per atom): 0.370
Space group: P2_1/m, No. 11

a b c (Å): 5.7204 6.4140 10.9053
angles (deg): 90.00 90.00 115.31
Atoms (fractional coordinates):
La 0.3642 0.2270 0.2500
La 0.6358 0.7730 0.7500
Sm 0.9623 0.4225 0.2500
Sm 0.0377 0.5775 0.7500
Dy 0.8438 0.1999 0.9769
Dy 0.1562 0.8001 0.0231
Dy 0.8438 0.1999 0.5231
Dy 0.1562 0.8001 0.4769
Dy 0.6701 0.8319 0.2500
Dy 0.3299 0.1681 0.7500


Record 2
Density functional theory data (PBE) for a relaxed structure of NiMo2Pt2.

Summary:
E (eV/atom): -7.988
ΔE to the lowest computed polymorph (kJ/mol of atoms): 11.1
Volume (A^3/atom): 15.31
Size of the total moment (μB per formula unit): 0.0
Energy of formation (eV per atom): -0.083
Space group: Cmc2_1, No. 36

a b c (Å): 4.2711 4.7545 7.8365
angles (deg): 90.00 105.81 90.00
Atoms (fractional coordinates):
Ni 0.4553 0.9376 0.9106
Ni 0.5447 0.4376 0.0894
Mo 0.3669 0.4283 0.7338
Mo 0.8591 0.0709 0.7181
Mo 0.1409 0.5709 0.2819
Mo 0.6331 0.9283 0.2662
Pt 0.9587 0.6011 0.9173
Pt 0.7717 0.5964 0.5435
Pt 0.2283 0.0964 0.4565
Pt 0.0413 0.1011 0.0827


Record 3
Density functional theory data (PBE) for a relaxed structure of BHPb.

Summary:
E (eV/atom): -4.349
ΔE to the lowest computed polymorph (kJ/mol of atoms): 1.5
Volume (A^3/atom): 17.01
Size of the total moment (μB per formula unit): 0.0
Space group: P1, No. 1

a b c (Å): 6.3288 5.9524 3.2008
angles (deg): 90.01 104.62 62.01
Atoms (fractional coordinates):
Pb 0.2286 0.5420 0.6173
Pb 0.1217 0.0954 0.0655
H 0.6746 0.0012 0.8400
H 0.6755 0.5386 0.3408
B 0.6750 0.2069 0.8403
B 0.6752 0.3316 0.3405


Record 4
Density functional theory data (PBE) for a relaxed structure of CaMg3Pt.

Summary:
E (eV/atom): -3.041
ΔE to the lowest computed polymorph (kJ/mol of atoms): 0.0
Volume (A^3/atom): 23.35
Size of the total moment (μB per formula unit): 0.0
Energy of formation (eV per atom): -0.476
Space group: P2_1/m, No. 11

a b c (Å): 5.6813 5.9783 7.5698
angles (deg): 90.00 114.76 90.00
Atoms (fractional coordinates):
Ca 0.7192 0.9476 0.8872
Ca 0.3152 0.4476 0.6734
Mg 0.8606 0.4476 0.1639
Mg 0.1737 0.9476 0.3967
Mg 0.7390 0.1970 0.4902
Mg 0.7390 0.6982 0.4902
Mg 0.2953 0.6970 0.0704
Mg 0.2953 0.1982 0.0704
Pt 0.8871 0.4476 0.8196
Pt 0.1472 0.9476 0.7410


Record 5
Density functional theory data (PBE) for a relaxed structure of K3HfNp3Te8.

Summary:
E (eV/atom): -6.000
Formation energy (no corrections) (meV per atom): -854
Volume (A^3/atom): 38.53
Size of the total moment (μB per formula unit): 4.0
Space group: P-1, No. 2

a b c (Å): 8.9097 8.8924 9.8617
angles (deg): 116.83 89.89 120.00
Last column: magnetic moment on the atom in μB.
Atoms (fractional coordinates):
K 0.0000 0.0000 0.0000  0.00
K 0.0000 0.5000 0.0000  0.00
K 0.5000 0.5000 0.0000  0.00
Hf 0.0000 0.0000 0.5000  0.04
Np 0.5000 0.0000 0.5000  3.97
Np 0.5000 0.5000 0.5000  -3.94
Np 0.0000 0.5000 0.5000  3.96
Te 0.2613 0.5243 0.2867  -0.03
Te 0.7387 0.4757 0.7133  -0.03
Te 0.7767 0.5529 0.2996  0.00
Te 0.2233 0.4471 0.7004  0.00
Te 0.7767 0.0241 0.3002  -0.06
Te 0.2233 0.9759 0.6998  -0.06
Te 0.2459 0.0224 0.2989  0.00
Te 0.7541 0.9776 0.7011  0.00


Record 6
Density functional theory data (PBE) for a relaxed structure of Ba2NiPd.

Summary:
E (eV/atom): -3.595
ΔE to the lowest computed polymorph (kJ/mol of atoms): 35.5
Volume (A^3/atom): 31.63
Size of the total moment (μB per formula unit): 0.0
Energy of formation (eV per atom): 0.109
Space group: I-42d, No. 122

a b c (Å): 8.2238 8.2238 6.9146
angles (deg): 53.51 53.51 90.00
Atoms (fractional coordinates):
Ni 0.5000 0.5000 0.0000
Ni 0.2500 0.7500 0.5000
Ba 0.6135 0.1250 0.2500
Ba 0.1365 0.6250 0.2500
Ba 0.3750 0.3865 0.7500
Ba 0.8750 0.8635 0.7500
Pd 0.0000 0.0000 0.0000
Pd 0.7500 0.2500 0.5000